## HfAsRuSe2 (GGA-PBE)

Data for a relaxed HfAsRuSe2 crystal.

Values from the calculation:
- Excess energy over the best structure of this formula in the dataset: 0 meV per atom
- Uncorrected formation energy: 410 meV/atom

Geometry as POSCAR:
```
HfAsRuSe2
1.0
4.9325 0.0000 0.0000
0.0000 4.9325 0.0000
0.0000 0.0000 4.5567
Hf As Ru Se
1 1 1 2
Cartesian
0.0000 0.0000 0.0000
2.4662 2.4662 0.0000
2.4662 2.4662 2.2783
0.0000 2.4662 2.2783
2.4662 0.0000 2.2783
```

## HfTaAsRu2 (GGA-PBE)

Data for a relaxed HfTaAsRu2 crystal.

Values from the calculation:
- ΔE_f: 3.33 eV/f.u.

Geometry as POSCAR:
```
HfTaAsRu2
1.0
4.4555 0.0000 0.0000
0.0000 4.4555 0.0000
0.0000 0.0000 4.8414
Hf Ta As Ru
1 1 1 2
Cartesian
0.0000 0.0000 0.0000
2.2278 2.2278 0.0000
0.0000 0.0000 2.4207
0.0000 2.2278 2.4207
2.2278 0.0000 2.4207
```

## HfTcAsRu (GGA-PBE)

Data for a relaxed HfTcAsRu crystal.

Values from the calculation:
- ΔE_f: -1.62 eV/f.u.

Geometry as POSCAR:
```
HfTcAsRu
1.0
6.2859 0.0000 0.0000
0.0000 6.2859 0.0000
0.0000 0.0000 6.2859
Hf Tc As Ru
4 4 4 4
Cartesian
0.0000 0.0000 0.0000
0.0000 3.1429 3.1429
3.1429 0.0000 3.1429
3.1429 3.1429 0.0000
1.5715 1.5715 1.5715
1.5715 4.7144 4.7144
4.7144 1.5715 4.7144
4.7144 4.7144 1.5715
0.0000 0.0000 3.1429
0.0000 3.1429 0.0000
3.1429 0.0000 0.0000
3.1429 3.1429 3.1429
1.5715 1.5715 4.7144
1.5715 4.7144 1.5715
4.7144 1.5715 1.5715
4.7144 4.7144 4.7144
```

## Hf2VAsRu (GGA-PBE)

Data for a relaxed Hf2VAsRu crystal.

Values from the calculation:
- ΔE_f: 2.80 eV/f.u.

Geometry as POSCAR:
```
Hf2VAsRu
1.0
4.9090 0.0000 0.0000
0.0000 4.9090 0.0000
0.0000 0.0000 4.3344
Hf V As Ru
2 1 1 1
Cartesian
0.0000 2.4545 0.0000
2.4545 0.0000 0.0000
0.0000 0.0000 2.1672
0.0000 0.0000 0.0000
2.4545 2.4545 2.1672
```

## HfAsS4 (GGA-PBE)

Data for a relaxed HfAsS4 crystal.

Values from the calculation:
- Uncorrected formation energy: -721 meV/atom

Geometry as POSCAR:
```
HfAsS4
1.0
6.3397 0.0000 0.0000
0.0000 3.5528 0.0000
-0.0540 0.0000 6.7385
Hf As S
1 1 4
Cartesian
0.0000 0.0000 0.0000
3.1699 1.7764 0.0000
1.0643 1.7764 5.3109
2.1321 0.0000 1.4190
4.1536 0.0000 5.3195
5.2215 1.7764 1.4276
```

## Hf4AsS (GGA-PBE)

Data for a relaxed Hf4AsS crystal.

Values from the calculation:
- Uncorrected formation energy: -505 meV/atom

Geometry as POSCAR:
```
Hf4AsS
1.0
-4.2191 4.2191 3.6655
4.2191 -4.2191 3.6655
4.2191 4.2191 -3.6655
Hf As S
8 2 2
Cartesian
4.2191 1.6830 -0.1996
2.5361 4.2191 -2.0324
1.6830 0.0000 1.6331
0.0000 2.4291 0.0000
0.0000 6.0091 0.0000
2.4291 4.2191 1.8327
1.7900 0.0000 5.4982
0.0000 2.5361 3.4658
4.2191 0.0000 1.7894
0.0000 0.0000 3.6222
0.0000 4.2191 1.6760
0.0000 0.0000 7.1743
```

## Hf6AsS (GGA-PBE)

Data for a relaxed Hf6AsS crystal.

Values from the calculation:
- Uncorrected formation energy: -396 meV/atom

Geometry as POSCAR:
```
Hf6AsS
1.0
2.9979 1.7308 5.6116
-2.9979 1.7308 5.6116
0.0000 -3.4617 5.6116
Hf As S
6 1 1
Cartesian
-2.0518 -0.1657 7.0789
-0.8824 -1.8597 9.7559
1.1694 -1.6941 7.0789
-1.1694 1.6941 9.7559
0.8824 1.8597 7.0789
2.0518 0.1657 9.7560
0.0000 0.0000 0.0000
0.0000 0.0000 8.4174
```

## Hf2As2S (GGA-PBE)

Data for a relaxed Hf2As2S crystal.

Values from the calculation:
- Excess energy over the best structure of this formula in the dataset: 0 meV per atom
- Uncorrected formation energy: -982 meV/atom

Geometry as POSCAR:
```
Hf2As2S
1.0
7.3845 0.0000 0.0000
0.0000 5.3931 0.0000
0.0000 0.0000 11.2338
Hf As S
8 8 4
Cartesian
0.7686 1.3483 2.7613
1.0254 1.3483 6.5215
2.6668 4.0448 0.9046
2.9237 4.0448 8.3781
4.4608 1.3483 2.8556
4.7177 1.3483 10.3291
6.3591 4.0448 4.7122
6.6160 4.0448 8.4725
0.7299 4.0448 2.7290
1.1127 4.0448 6.4075
2.5795 1.3483 0.7906
2.9623 1.3483 8.3459
4.4222 4.0448 2.8879
4.8050 4.0448 10.4432
6.2718 1.3483 4.8263
6.6546 1.3483 8.5047
1.1293 4.0448 10.1470
2.5630 1.3483 4.5301
4.8215 4.0448 6.7036
6.2553 1.3483 1.0868
```

## Hf2As2S (GGA-PBE)

Data for a relaxed Hf2As2S crystal.

Values from the calculation:
- Excess energy over the best structure of this formula in the dataset: 30 meV per atom
- Uncorrected formation energy: -952 meV/atom

Geometry as POSCAR:
```
Hf2As2S
1.0
7.1596 0.0000 0.0000
0.0000 7.1596 0.0000
0.0000 0.0000 3.6681
Hf As S
4 4 2
Cartesian
1.1689 2.4110 0.0000
2.4110 5.9908 0.0000
4.7487 1.1689 0.0000
5.9908 4.7487 0.0000
0.9729 4.5527 1.8341
2.6069 0.9729 1.8341
4.5527 6.1867 1.8341
6.1867 2.6069 1.8341
0.0000 0.0000 0.0000
3.5798 3.5798 0.0000
```

## HfAs3S (GGA-PBE)

Data for a relaxed HfAs3S crystal.

Values from the calculation:
- Uncorrected formation energy: 555 meV/atom

Geometry as POSCAR:
```
HfAs3S
1.0
5.1226 0.0000 0.0000
0.0000 5.1226 0.0000
0.0000 0.0000 5.1226
Hf As S
1 3 1
Cartesian
0.0000 0.0000 0.0000
0.0000 0.0000 2.5613
0.0000 2.5613 0.0000
2.5613 0.0000 0.0000
2.5613 2.5613 2.5613
```

## Hf8AsS2 (GGA-PBE)

Data for a relaxed Hf8AsS2 crystal.

Values from the calculation:
- Uncorrected formation energy: -368 meV/atom

Geometry as POSCAR:
```
Hf8AsS2
1.0
7.3022 -2.9965 0.0000
7.3022 2.9965 0.0000
-0.8674 0.0000 5.2345
Hf As S
8 1 2
Cartesian
0.9438 0.0000 3.6018
5.4181 1.5558 4.2121
3.7170 0.0000 1.5730
8.3189 1.5558 1.0224
5.4181 -1.5558 4.2121
10.0200 0.0000 3.6615
8.3189 -1.5558 1.0224
12.7931 0.0000 1.6327
6.8685 0.0000 2.6173
3.3776 0.0000 4.2399
10.3594 0.0000 0.9946
```

## HfAs2S (GGA-PBE)

Data for a relaxed HfAs2S crystal.

Values from the calculation:
- Uncorrected formation energy: 231 meV/atom

Geometry as POSCAR:
```
HfAs2S
1.0
5.7670 0.0000 0.0000
0.0000 5.7670 0.0000
0.0000 0.0000 12.8345
Hf As S
4 8 4
Cartesian
0.0000 0.0000 0.0000
0.0000 2.8835 3.2086
2.8835 0.0000 9.6259
2.8835 2.8835 6.4172
1.3990 1.4418 8.0216
1.4418 4.2825 11.2302
1.4418 4.3680 4.8129
1.4845 1.4418 1.6043
4.2825 4.3253 1.6043
4.3253 1.3990 4.8129
4.3253 1.4845 11.2302
4.3680 4.3253 8.0216
0.0000 0.0000 6.4172
0.0000 2.8835 9.6259
2.8835 0.0000 3.2086
2.8835 2.8835 0.0000
```

| no. | calculated volume (A^3/atom) | total energy (eV per atom) |
| --- | --- | --- |
| 1 | 22.2 | -5.76 |
| 2 | 19.2 | -8.34 |
| 3 | 15.5 | -8.97 |
| 4 | 20.9 | -8.03 |
| 5 | 25.3 | -5.91 |
| 6 | 21.7 | -8.60 |
| 7 | 21.8 | -8.96 |
| 8 | 22.4 | -7.65 |
| 9 | 18.8 | -7.62 |
| 10 | 26.9 | -5.05 |
| 11 | 20.8 | -8.78 |
| 12 | 26.7 | -5.61 |